[1]
Computed, not measured: a relaxed structure of HoThCS at the PBE level of DFT.

It has space group R3m (No. 160, hexagonal axes), with a = 3.7857 Å, b = 3.7857 Å, c = 19.4614 Å, α = 90.00°, β = 90.00° and γ = 120.00°. The asymmetric unit holds Ho at (0.0000, 0.0000, 0.0000), Th at (0.0000, 0.0000, 0.4755), C at (0.0000, 0.0000, 0.7386) and S at (0.0000, 0.0000, 0.2433).

The magnetic moment comes out at 0.00 μB/f.u.

---

[2]
Computed, not measured: a relaxed structure of Ho8Tl3CS3 at the PBE level of DFT.

It has space group C2/m (No. 12), with a = 13.1563 Å, b = 7.6037 Å, c = 8.9110 Å, α = 90.00°, β = 119.50° and γ = 90.00°. The asymmetric unit holds Ho at (0.0127, 0.2262, 0.3121), Ho at (0.2135, 0.0000, 0.6875), Ho at (0.2339, 0.5000, 0.7017), Tl at (0.0000, 0.0000, 0.0000), Tl at (0.2500, 0.2500, 0.0000), C at (0.0000, 0.0000, 0.5000), S at (0.0000, 0.5000, 0.5000) and S at (0.2500, 0.2500, 0.5000).

The magnetic moment comes out at 0.00 μB/f.u.

---

Short version: Fermi-level density of states = 5.62, 14.79 states/eV per cell, in the order given.
Short version: total energy = -7.5769, -5.3282 eV/atom, in the order given.
Short version: E_form (uncorrected) = -1.240, -0.973 eV/atom, in the order given.